{"formula": "FeNiSn", "functional": "PBE-GGA", "state": "optimized geometry", "cell": [[4.354, 0.000, 0.000], [-2.177, 3.771, 0.000], [0.000, 0.000, 5.300]], "species": ["Fe", "Fe", "Ni", "Ni", "Sn", "Sn"], "frac_coords": [[0.000, 0.000, 0.000], [0.000, 0.000, 0.500], [0.333, 0.667, 0.250], [0.667, 0.333, 0.750], [0.333, 0.667, 0.750], [0.667, 0.333, 0.250]], "magnetic_moment_mub_per_atom": 0.83, "sg": "No. 194", "e_form_ev_per_atom": -0.004, "final_energy_ev_per_atom": -6.087}